[1]
# Ho6Te3Pb2Se

An optimized crystal structure of Ho6Te3Pb2Se (PBE, the Alexandria database).

Cell lengths 18.9042, 4.3386, 8.6900 Å; angles 90.00, 103.55, 90.00 degrees
Space group C2/m (No. 12)
Inequivalent atoms, fractional coordinates:
1 Ho 0.0022 0.0000 0.2318 (multiplicity 4)
2 Ho 0.1594 0.5000 0.0839 (multiplicity 4)
3 Ho 0.1677 0.5000 0.5756 (multiplicity 4)
4 Te 0.0000 0.5000 0.5000 (multiplicity 2)
5 Te 0.1671 0.0000 0.8332 (multiplicity 4)
6 Pb 0.1661 0.0000 0.3296 (multiplicity 4)
7 Se 0.0000 0.5000 0.0000 (multiplicity 2)

## Properties
Calculated volume = 692.9 Å³ per cell
Total DFT energy (no corrections) = -122.16 eV for the cell shown
E_form (uncorrected) = -1107 meV/atom



[2]
# Ho2Tl3PbSe6

An optimized crystal structure of Ho2Tl3PbSe6 (PBE, the Alexandria database).

Cell lengths 19.5032, 4.2061, 9.0124 Å; angles 90.00, 106.89, 90.00 degrees
Space group C2/m (No. 12)
Inequivalent atoms, fractional coordinates:
1 Ho 0.1694 0.0000 0.3353 (multiplicity 4)
2 Tl 0.0000 0.5000 0.5000 (multiplicity 2)
3 Tl 0.1654 0.0000 0.8336 (multiplicity 4)
4 Pb 0.0000 0.5000 0.0000 (multiplicity 2)
5 Se 0.0151 0.0000 0.2526 (multiplicity 4)
6 Se 0.1649 0.5000 0.1167 (multiplicity 4)
7 Se 0.1760 0.5000 0.5584 (multiplicity 4)

## Properties
Calculated volume = 707.4 Å³ per cell
Total DFT energy (no corrections) = -106.80 eV for the cell shown
E_form (uncorrected) = -1044 meV/atom